Version 1
A relaxed structure of Zr2FeF. Source: Alexandria, functional PBE with a Hubbard U.

Values from the calculation:
Magnetic moment ... 0.025 μB per atom
D(E_F) ... 3.0 states/eV/f.u.

The structure in POSCAR format:
```
Zr2FeF
1.0
-2.5067 2.5067 6.1278
2.5067 -2.5067 6.1278
2.5067 2.5067 -6.1278
Zr Fe F
4 2 2
Cartesian
3.7600 1.0960 -1.5319
1.0960 1.2533 1.5319
-1.2533 1.4107 4.5958
1.4107 1.2533 7.6597
2.5067 0.0000 3.0639
0.0000 0.0000 6.1278
0.0000 0.0000 0.0000
0.0000 2.5067 3.0639
```

***

Version 2
A relaxed structure of Zr2FeF. Source: Alexandria, functional PBE with a Hubbard U.

Values from the calculation:
Magnetic moment ... 0.386 μB per atom
D(E_F) ... 4.6 states/eV/f.u.

The structure in POSCAR format:
```
Zr2FeF
1.0
0.0000 3.2467 3.2467
3.2467 0.0000 3.2467
3.2467 3.2467 0.0000
Zr Fe F
2 1 1
Cartesian
1.6233 1.6233 1.6233
4.8700 4.8700 4.8700
0.0000 0.0000 0.0000
3.2467 3.2467 3.2467
```

***

Stability check: which of them is least stable? version 1.

***

Version 1
A relaxed structure of Zr3FeF6. Source: Alexandria, functional PBE with a Hubbard U.

Values from the calculation:
Magnetic moment ... 0.294 μB per atom
D(E_F) ... 6.1 states/eV/f.u.

The structure in POSCAR format:
```
Zr3FeF6
1.0
3.5096 -7.4801 0.0000
3.5096 7.4801 0.0000
-0.8897 0.0000 3.0900
Zr Fe F
3 1 6
Cartesian
0.0000 0.0000 0.0000
1.3099 3.7401 1.5450
1.3099 -3.7401 1.5450
3.0647 0.0000 1.5450
0.8074 1.7616 1.0301
0.8074 -1.7616 1.0301
1.3153 0.0000 2.8768
4.8141 0.0000 0.2132
5.3221 1.7616 2.0599
5.3221 -1.7616 2.0599
```

***

Version 2
A relaxed structure of Zr3FeF6. Source: Alexandria, functional PBE with a Hubbard U.

Values from the calculation:
Magnetic moment ... 0.403 μB per atom
D(E_F) ... 4.3 states/eV/f.u.

The structure in POSCAR format:
```
Zr3FeF6
1.0
6.2827 0.0000 0.0000
-3.1331 5.4714 0.0000
-0.0236 -3.5584 6.6521
Zr Fe F
3 1 6
Cartesian
0.0000 0.0000 0.0000
-1.5665 2.7357 0.0000
3.1414 0.0000 0.0000
-1.5784 0.9565 3.3261
-1.5741 2.5701 2.0368
-0.1386 0.0938 2.0247
-0.1406 1.8180 4.6270
3.2666 0.0950 2.0251
3.2646 1.8192 4.6274
4.7001 -0.6571 4.6153
```

***

Stability check: which of them is least stable? version 1.

***

Version 1
A relaxed structure of ZrFeF3. Source: Alexandria, functional PBE with a Hubbard U.

Values from the calculation:
Magnetic moment ... 0.767 μB per atom
D(E_F) ... 6.2 states/eV/f.u.

The structure in POSCAR format:
```
ZrFeF3
1.0
4.0603 0.0000 0.0000
0.0000 4.0603 0.0000
0.0000 0.0000 4.0603
Zr Fe F
1 1 3
Cartesian
0.0000 0.0000 0.0000
2.0301 2.0301 2.0301
0.0000 2.0301 2.0301
2.0301 0.0000 2.0301
2.0301 2.0301 0.0000
```

***

Version 2
A relaxed structure of ZrFeF3. Source: Alexandria, functional PBE with a Hubbard U.

Values from the calculation:
Magnetic moment ... 0.600 μB per atom
D(E_F) ... 10.2 states/eV/f.u.

The structure in POSCAR format:
```
ZrFeF3
1.0
4.3504 0.0000 0.0000
0.0000 4.3504 0.0000
0.0000 0.0000 4.3504
Zr Fe F
1 1 3
Cartesian
0.0000 0.0000 0.0000
2.1752 2.1752 2.1752
0.0000 0.0000 2.1752
0.0000 2.1752 0.0000
2.1752 0.0000 0.0000
```

***

Stability check: which of them is least stable? version 1.